This record from Alexandria via LeMat-Bulk describes crystalline GdTmW4 at its relaxed geometry. The functional is PBE-GGA.

Energy of formation, eV per atom: 0.158

Lattice parameters (Å, degrees): 5.539 5.539 5.539 60.00 60.00 60.00
Atoms (fractional coordinates):
Gd (0.000, 0.000, 0.000)
Tm (0.750, 0.750, 0.750)
W (0.375, 0.375, 0.375)
W (0.375, 0.375, 0.875)
W (0.375, 0.875, 0.375)
W (0.875, 0.375, 0.375)



This record from Alexandria via LeMat-Bulk describes crystalline Gd4YTm at its relaxed geometry. The functional is PBE-GGA.

Energy of formation, eV per atom: 0.241

Lattice parameters (Å, degrees): 6.557 6.557 6.557 60.00 60.00 60.00
Atoms (fractional coordinates):
Gd (0.125, 0.125, 0.125)
Gd (0.125, 0.125, 0.625)
Gd (0.125, 0.625, 0.125)
Gd (0.625, 0.125, 0.125)
Y (0.750, 0.750, 0.750)
Tm (0.500, 0.500, 0.500)



This record from Alexandria via LeMat-Bulk describes crystalline GdYTm2 at its relaxed geometry. The functional is PBE-GGA.

Energy of formation, eV per atom: 0.029
Offset from the most stable computed form, eV per atom: 0.000

Lattice parameters (Å, degrees): 5.003 5.003 4.974 90.00 90.00 90.00
Atoms (fractional coordinates):
Gd (0.000, 0.000, 0.000)
Y (0.500, 0.500, 0.000)
Tm (0.000, 0.500, 0.500)
Tm (0.500, 0.000, 0.500)